Record 1
A relaxed LaCe3Te4 crystal, computed with PBE.

abc: 6.389 6.389 6.389
angles: 90.00 90.00 90.00
Each line ends with the local moment (μB).
Atoms (fractional coordinates):
Te 0.500 0.000 0.000  -0.01
Ce 0.500 0.500 0.000  1.04
Te 0.500 0.500 0.500  -0.02
Ce 0.000 0.500 0.500  1.04
Ce 0.500 0.000 0.500  1.04
Te 0.000 0.000 0.500  -0.01
La 0.000 0.000 0.000  0.07
Te 0.000 0.500 0.000  -0.01

Output
Total magnetization: 0.4943 μB/atom
E_form (uncorrected): -1.4169 eV/atom
DFT total energy: -5.8289 eV/atom
Calculated volume: 261 Å³ per cell

Record 2
A relaxed Ba3GaAu crystal, computed with PBE.

abc: 4.429 10.005 9.904
angles: 82.14 89.98 102.73
Atoms (fractional coordinates):
Au 0.446 0.925 0.316
Au 0.597 0.228 0.105
Ga 0.796 0.624 0.761
Ba 0.804 0.640 0.399
Ba 0.240 0.514 0.022
Ba 0.081 0.195 0.362
Ba 0.622 0.277 0.761
Ba 0.963 0.958 0.059
Ga 0.249 0.530 0.661
Ba 0.422 0.878 0.660

Output
Total magnetization: 0.0000 μB/atom
DFT total energy: -2.8269 eV/atom
Formation enthalpy at 0 K: -199 kJ/mol of formula units
Distance to the lowest polymorph of the same formula: 0.50 kJ/mol of atoms
Calculated volume: 424 Å³ per cell